(1)
Here is a relaxed structure of Ac4Zn3Hg from Alexandria via LeMat-Bulk. Energies are from GGA-PBE.

Volume ... 249.97 Å³/cell
Mass density ... 8.67 g/cm3
Total moment ... 0.00 Bohr magnetons per cell
Energy relative to the lowest polymorph listed for this composition ... 0.033 eV/atom
Crystal system ... orthorhombic
Formation energy ... -0.2675 eV/atom
Space group ... Pmm2

Cell lengths 4.0444, 4.8387, 12.7736 Å; angles 90.00, 90.00, 90.00 degrees
Last column: nearest neighbours and their distance in Å.
Element x y z (fractional)
Ac (0.0000, 0.0000, 0.0000)  6 Zn 3.33-3.34, 1 Hg 3.71
Ac (0.0000, 0.5000, 0.2929)  7 Zn 3.33-3.60
Ac (0.5000, 0.0000, 0.4909)  5 Zn 3.33-3.61, 2 Hg 3.45
Ac (0.5000, 0.5000, 0.7980)  4 Hg 3.35, 3 Zn 3.50-3.64
Zn (0.0000, 0.5000, 0.5745)  2 Hg 2.97
Zn (0.5000, 0.0000, 0.2084)  2 Zn 2.90
Zn (0.5000, 0.5000, 0.0828)  2 Zn 2.90
Hg (0.0000, 0.0000, 0.7094)  2 Zn 2.97

(2)
Here is a relaxed structure of AcZnHg4 from Alexandria via LeMat-Bulk. Energies are from GGA-PBE.

Volume ... 306.08 Å³/cell
Mass density ... 11.88 g/cm3
Total moment ... 0.00 Bohr magnetons per cell
Energy relative to the lowest polymorph listed for this composition ... 0.000 eV/atom
Crystal system ... orthorhombic
Formation energy ... -0.2566 eV/atom
Space group ... Cmcm

Cell lengths 9.0902, 9.0902, 7.3394 Å; angles 90.00, 90.00, 149.69 degrees
Last column: nearest neighbours and their distance in Å.
Element x y z (fractional)
Ac (0.1229, 0.8771, 0.7500)  9 Hg 3.35-3.70, 2 Zn 3.56
Ac (0.8771, 0.1229, 0.2500)  9 Hg 3.35-3.70, 2 Zn 3.56
Zn (0.2264, 0.7736, 0.2500)  7 Hg 2.74-2.92
Zn (0.7736, 0.2264, 0.7500)  7 Hg 2.74-2.92
Hg (0.0678, 0.9322, 0.2500)  1 Zn 2.78
Hg (0.3204, 0.6796, 0.5479)  3 Zn 2.74-2.92, 1 Hg 2.97
Hg (0.3204, 0.6796, 0.9521)  3 Zn 2.74-2.92, 1 Hg 2.97
Hg (0.5000, 0.5000, 0.0000)  6 Hg 3.17-3.23
Hg (0.5000, 0.5000, 0.5000)  6 Hg 3.17-3.23
Hg (0.6796, 0.3204, 0.0479)  3 Zn 2.74-2.92, 1 Hg 2.97
Hg (0.6796, 0.3204, 0.4521)  3 Zn 2.74-2.92, 1 Hg 2.97
Hg (0.9322, 0.0678, 0.7500)  1 Zn 2.78

(3)
Here is a relaxed structure of AcZrHg from Alexandria via LeMat-Bulk. Energies are from GGA-PBE.

Volume ... 177.78 Å³/cell
Mass density ... 9.69 g/cm3
Total moment ... 0.00 Bohr magnetons per cell
Crystal system ... hexagonal
Formation energy ... 0.1105 eV/atom
Space group ... P-6m2

Cell lengths 3.6215, 3.6215, 15.6560 Å; angles 90.00, 90.00, 120.00 degrees
Last column: nearest neighbours and their distance in Å.
Element x y z (fractional)
Ac (0.0000, 0.0000, 0.1803)  3 Zr 3.45, 3 Hg 3.51, 6 Ac 3.62
Ac (0.0000, 0.0000, 0.8197)  3 Zr 3.45, 3 Hg 3.51, 6 Ac 3.62
Zr (0.6667, 0.3333, 0.3559)  3 Hg 3.08
Zr (0.6667, 0.3333, 0.6441)  3 Hg 3.08
Hg (0.0000, 0.0000, 0.5000)  6 Zr 3.08
Hg (0.6667, 0.3333, 0.0000)  6 Ac 3.51, 6 Hg 3.62

Question: Among the records above, which one has the highest volume?
Answer: AcZnHg4

Copy entry 3 word for word.
Here is a relaxed structure of AcZrHg from Alexandria via LeMat-Bulk. Energies are from GGA-PBE.

Volume ... 177.78 Å³/cell
Mass density ... 9.69 g/cm3
Total moment ... 0.00 Bohr magnetons per cell
Crystal system ... hexagonal
Formation energy ... 0.1105 eV/atom
Space group ... P-6m2

Cell lengths 3.6215, 3.6215, 15.6560 Å; angles 90.00, 90.00, 120.00 degrees
Last column: nearest neighbours and their distance in Å.
Element x y z (fractional)
Ac (0.0000, 0.0000, 0.1803)  3 Zr 3.45, 3 Hg 3.51, 6 Ac 3.62
Ac (0.0000, 0.0000, 0.8197)  3 Zr 3.45, 3 Hg 3.51, 6 Ac 3.62
Zr (0.6667, 0.3333, 0.3559)  3 Hg 3.08
Zr (0.6667, 0.3333, 0.6441)  3 Hg 3.08
Hg (0.0000, 0.0000, 0.5000)  6 Zr 3.08
Hg (0.6667, 0.3333, 0.0000)  6 Ac 3.51, 6 Hg 3.62